Fe4CuNiO8: optimized geometry, PBE with a Hubbard U.

Cell: 5.935 5.935 5.817 Å, 118.87 118.87 59.32°
Element x y z (fractional)
Fe 0.000 0.500 0.000
Fe 0.113 0.113 0.366
Fe 0.500 0.000 0.000
Fe 0.887 0.887 0.634
Cu 0.500 0.500 0.500
Ni 0.500 0.500 0.000
O 0.234 0.234 0.212
O 0.242 0.715 0.237
O 0.253 0.253 0.770
O 0.285 0.758 0.763
O 0.715 0.242 0.237
O 0.747 0.747 0.230
O 0.758 0.285 0.763
O 0.766 0.766 0.788

Properties
Total magnetic moment: 15.00 μB per formula unit
E_tot: -5.946 eV per atom